(1)
Compound: YTcPt4
Source: Alexandria via LeMat-Bulk
Functional: PBE
Structure: optimized geometry

Lattice parameters (Å, degrees): 5.3455 5.3455 5.3455 60.00 60.00 60.00
Fractional coordinates of all 6 atoms:
Tc1 0.7500 0.7500 0.7500
Pt1 0.3753 0.8741 0.3753
Y1 0.0000 0.0000 0.0000
Pt2 0.3753 0.3753 0.3753
Pt3 0.3753 0.3753 0.8741
Pt4 0.8741 0.3753 0.3753

Results
* DFT total energy: -7.20 eV/atom
* total moment: 3.7 μB/f.u.
* calculated formation energy: -0.37 eV per atom


(2)
Compound: YTc2Pt
Source: Alexandria via LeMat-Bulk
Functional: PBE
Structure: optimized geometry

Lattice parameters (Å, degrees): 4.4171 2.9876 5.5094 78.80 90.00 90.00
Fractional coordinates of all 4 atoms:
Pt1 0.5000 0.9058 0.7391
Tc1 0.0000 0.9001 0.0499
Y1 0.0000 0.4799 0.5365
Tc2 0.5000 0.2142 0.1745

Results
* DFT total energy: -8.42 eV/atom
* total moment: 0.0 μB/f.u.
* calculated formation energy: -0.11 eV per atom
* energy relative to the lowest polymorph listed for this composition: 0.070 eV per atom


(3)
Compound: Y8TcPt2
Source: Alexandria via LeMat-Bulk
Functional: PBE
Structure: optimized geometry

Lattice parameters (Å, degrees): 5.8146 7.6766 7.6766 113.24 100.01 100.01
Fractional coordinates of all 11 atoms:
Y1 0.5789 0.3281 0.0792
Y2 0.3867 0.6762 0.9263
Y3 0.5789 0.0792 0.3281
Pt1 0.4971 0.3175 0.6955
Y4 0.9912 0.2154 0.7834
Y5 0.8147 0.6467 0.6467
Tc1 0.1040 0.0037 0.0037
Pt2 0.4971 0.6955 0.3175
Y6 0.9912 0.7834 0.2154
Y7 0.3867 0.9263 0.6762
Y8 0.1731 0.3620 0.3620

Results
* DFT total energy: -7.16 eV/atom
* total moment: 0.0 μB/f.u.
* calculated formation energy: -0.41 eV per atom